# Pm2PaBi | the Alexandria database | PBE | relaxed
data_Pm2PaBi
_cell_length_a 5.521
_cell_length_b 5.521
_cell_length_c 5.521
_cell_angle_alpha 60.00
_cell_angle_beta 60.00
_cell_angle_gamma 60.00
_space_group_name_H-M_alt 'P 1'
_space_group_IT_number 1
loop_
_space_group_symop_operation_xyz
'x,y,z'
loop_
_atom_site_label
_atom_site_type_symbol
_atom_site_fract_x
_atom_site_fract_y
_atom_site_fract_z
Pm1 Pm 0.250 0.250 0.250
Pm2 Pm 0.750 0.750 0.750
Bi1 Bi 0.500 0.500 0.500
Pa1 Pa 0.000 0.000 0.000
# * calculated density: 10.2 Mg/m³
# * E_form: 0.30 eV/f.u.
# * density of states at the Fermi level: 8.1 states/eV/f.u.
# * excess energy over the best structure of this formula in the dataset: 232 meV/atom
# * total magnetic moment: 0.58 μB per atom
# * energy: -5.64 eV/atom